No. 1
## Rb2RuPt (PBE-GGA)

Data for a relaxed Rb2RuPt crystal.

Results
Formation energy (eV/atom): 0.792
Energy above the most stable polymorph in this dataset (meV/atom): 0
D(E_F) (states/eV/f.u.): 5.7

Cell: 12.7890 12.7890 4.7997 Å, 90.00 90.00 90.00°
Space group I-42d (No. 122)
Asymmetric unit:
Rb1 0.0006 0.7500 0.1250 x8
Ru1 0.0000 0.0000 0.0000 x4
Pt1 0.0000 0.0000 0.5000 x4

No. 2
## SiSbH2S (PBE-GGA)

Data for a relaxed SiSbH2S crystal.

Results
DFT total energy (eV/cell): -18.5
D(E_F) (states/eV/f.u.): 1.4

Cell: 3.8007 3.8007 5.1152 Å, 90.00 90.00 90.00°
Space group P4/mmm (No. 123)
Asymmetric unit:
Si1 0.0000 0.0000 0.0000 x1
Sb1 0.5000 0.5000 0.5000 x1
H1 0.0000 0.5000 0.0000 x2
S1 0.0000 0.0000 0.5000 x1

Repeat the first record exactly.
## Rb2RuPt (PBE-GGA)

Data for a relaxed Rb2RuPt crystal.

Results
Formation energy (eV/atom): 0.792
Energy above the most stable polymorph in this dataset (meV/atom): 0
D(E_F) (states/eV/f.u.): 5.7

Cell: 12.7890 12.7890 4.7997 Å, 90.00 90.00 90.00°
Space group I-42d (No. 122)
Asymmetric unit:
Rb1 0.0006 0.7500 0.1250 x8
Ru1 0.0000 0.0000 0.0000 x4
Pt1 0.0000 0.0000 0.5000 x4

What did the first record say?
## Rb2RuPt (PBE-GGA)

Data for a relaxed Rb2RuPt crystal.

Results
Formation energy (eV/atom): 0.792
Energy above the most stable polymorph in this dataset (meV/atom): 0
D(E_F) (states/eV/f.u.): 5.7

Cell: 12.7890 12.7890 4.7997 Å, 90.00 90.00 90.00°
Space group I-42d (No. 122)
Asymmetric unit:
Rb1 0.0006 0.7500 0.1250 x8
Ru1 0.0000 0.0000 0.0000 x4
Pt1 0.0000 0.0000 0.5000 x4

Copy entry 2 word for word.
## SiSbH2S (PBE-GGA)

Data for a relaxed SiSbH2S crystal.

Results
DFT total energy (eV/cell): -18.5
D(E_F) (states/eV/f.u.): 1.4

Cell: 3.8007 3.8007 5.1152 Å, 90.00 90.00 90.00°
Space group P4/mmm (No. 123)
Asymmetric unit:
Si1 0.0000 0.0000 0.0000 x1
Sb1 0.5000 0.5000 0.5000 x1
H1 0.0000 0.5000 0.0000 x2
S1 0.0000 0.0000 0.5000 x1